No. 1
Density functional theory data (PBE-GGA) for crystalline K2ZrRh at its relaxed geometry.

The value obtained for the formation energy is 81 kJ per mole of atoms. The value obtained for the density of states at the Fermi level is 12.268 states/eV/cell.

a = 3.0924 Å, b = 3.0924 Å, c = 37.1813 Å
α = 90.00°, β = 90.00°, γ = 120.00°
Space group R-3m (No. 166, hexagonal axes)
Asymmetric unit:
K 0.0000 0.0000 0.2366 [6 per cell]
Zr 0.0000 0.0000 0.0000 [3 per cell]
Rh 0.0000 0.0000 0.5000 [3 per cell]



No. 2
Density functional theory data (PBE-GGA) for crystalline CeIn3Cu4Se8 at its relaxed geometry.

The formation energy from raw total energies is -550 meV/atom. The value obtained for the density of states at the Fermi level is 8.001 states/eV/cell.

a = 5.906 Å, b = 5.906 Å, c = 12.051 Å
α = 90.00°, β = 90.00°, γ = 90.00°
Space group P-4 (No. 81)
Asymmetric unit:
Ce 0.000 0.000 0.000 [1 per cell]
In 0.000 0.500 0.259 [2 per cell]
In 0.500 0.500 0.500 [1 per cell]
Cu 0.000 0.000 0.500 [1 per cell]
Cu 0.000 0.500 0.745 [2 per cell]
Cu 0.500 0.500 0.000 [1 per cell]
Se 0.216 0.250 0.621 [4 per cell]
Se 0.266 0.708 0.864 [4 per cell]



No. 3
Density functional theory data (PBE-GGA) for crystalline CsRb2CuCl5 at its relaxed geometry.

The formation energy from raw total energies is -1483 meV/atom. The value obtained for the density of states at the Fermi level is 27.292 states/eV/cell.

a = 9.022 Å, b = 9.022 Å, c = 14.648 Å
α = 90.00°, β = 90.00°, γ = 90.00°
Space group I4/mcm (No. 140)
Asymmetric unit:
Cs 0.000 0.000 0.250 [4 per cell]
Rb 0.167 0.333 0.000 [8 per cell]
Cu 0.000 0.500 0.250 [4 per cell]
Cl 0.000 0.000 0.000 [4 per cell]
Cl 0.135 0.365 0.351 [16 per cell]